Record 1
A plane-wave DFT calculation with PBE-GGA was carried out for a relaxed structure of NdYO2.

```
NdYO2
1.0
6.252 0.002 0.001
5.298 3.320 0.001
5.298 1.524 2.949
Y Nd O
1 1 2
Direct
0.500 0.500 0.500
0.000 0.000 0.000
0.236 0.236 0.236
0.764 0.764 0.764
```

Properties
* magnetic moment: 0.00 Bohr magnetons per cell
* N(E_F): 0.59 states/eV/cell
* total DFT energy (no corrections): -8.099 eV/atom
* energy relative to the elements, uncorrected: -271 kJ/mol of atoms

Record 2
A plane-wave DFT calculation with PBE-GGA was carried out for a relaxed structure of NdYO2.

```
NdYO2
1.0
3.406 0.000 0.000
1.703 2.950 0.000
1.703 0.983 6.102
Nd O Y
1 2 1
Direct
0.672 0.672 0.985
0.243 0.243 0.271
0.090 0.090 0.731
0.496 0.496 0.513
```

Properties
* magnetic moment: 0.00 Bohr magnetons per cell
* N(E_F): 0.42 states/eV/cell
* total DFT energy (no corrections): -7.943 eV/atom
* energy relative to the elements, uncorrected: -256 kJ/mol of atoms

Record 3
A plane-wave DFT calculation with PBE-GGA was carried out for a relaxed structure of Nd3Y5O12.

```
Nd3Y5O12
1.0
-4.025 -10.866 2.528
10.558 -0.837 -5.339
1.124 6.232 10.028
O Y Nd
48 20 12
Direct
0.675 0.217 0.586
0.283 0.869 0.958
0.586 0.717 0.675
0.717 0.586 0.175
0.542 0.325 0.911
0.042 0.411 0.825
0.869 0.283 0.458
0.542 0.217 0.131
0.086 0.175 0.217
0.283 0.414 0.825
0.369 0.958 0.783
0.914 0.825 0.783
0.089 0.175 0.458
0.958 0.589 0.175
0.042 0.631 0.717
0.411 0.042 0.325
0.325 0.542 0.411
0.086 0.911 0.369
0.175 0.089 0.958
0.631 0.589 0.914
0.217 0.675 0.086
0.825 0.914 0.283
0.131 0.414 0.089
0.131 0.717 0.542
0.825 0.911 0.042
0.911 0.825 0.542
0.589 0.631 0.414
0.175 0.086 0.717
0.411 0.369 0.586
0.089 0.914 0.131
0.717 0.131 0.042
0.675 0.458 0.589
0.325 0.783 0.414
0.217 0.542 0.631
0.631 0.042 0.217
0.369 0.411 0.086
0.589 0.958 0.675
0.914 0.089 0.631
0.958 0.369 0.283
0.911 0.086 0.869
0.458 0.675 0.089
0.414 0.131 0.589
0.458 0.783 0.869
0.869 0.586 0.911
0.586 0.869 0.411
0.783 0.458 0.369
0.414 0.283 0.325
0.783 0.325 0.914
0.625 0.875 0.250
0.375 0.250 0.125
0.375 0.125 0.750
0.125 0.375 0.250
0.875 0.625 0.750
0.250 0.875 0.125
0.625 0.750 0.875
0.250 0.375 0.625
0.500 0.500 0.500
0.000 0.000 0.500
0.500 0.000 0.000
0.500 0.500 0.000
0.125 0.750 0.375
0.875 0.250 0.625
0.750 0.625 0.375
0.000 0.000 0.000
0.000 0.500 0.500
0.750 0.125 0.875
0.500 0.000 0.500
0.000 0.500 0.000
0.250 0.625 0.875
0.125 0.250 0.875
0.375 0.625 0.250
0.375 0.750 0.625
0.875 0.125 0.250
0.250 0.125 0.375
0.625 0.375 0.750
0.750 0.875 0.625
0.125 0.875 0.750
0.875 0.750 0.125
0.625 0.250 0.375
0.750 0.375 0.125
```

Properties
* magnetic moment: 0.00 Bohr magnetons per cell
* N(E_F): 0.00 states/eV/cell
* total DFT energy (no corrections): -8.621 eV/atom
* energy relative to the elements, uncorrected: -320 kJ/mol of atoms

Record 4
A plane-wave DFT calculation with PBE-GGA was carried out for a relaxed structure of Nd2YO.

```
Nd2YO
1.0
-0.679 2.689 -1.727
0.248 -1.716 -2.770
-8.897 -1.973 0.427
Y O Nd
1 1 2
Direct
0.500 0.500 0.500
0.500 0.500 0.000
0.000 0.000 0.829
0.000 0.000 0.171
```

Properties
* magnetic moment: 0.00 Bohr magnetons per cell
* energy above the most stable polymorph in this dataset: 317 meV per atom
* N(E_F): 5.22 states/eV/cell
* total DFT energy (no corrections): -6.052 eV/atom
* energy relative to the elements, uncorrected: -78 kJ/mol of atoms

Record 5
A plane-wave DFT calculation with PBE-GGA was carried out for a relaxed structure of Nd3YO.

```
Nd3YO
1.0
5.105 0.000 0.000
0.000 5.105 0.000
0.000 0.000 5.105
Y Nd O
1 3 1
Direct
0.500 0.500 0.500
0.500 0.000 0.000
0.000 0.000 0.500
0.000 0.500 0.000
0.000 0.000 0.000
```

Properties
* magnetic moment: 0.00 Bohr magnetons per cell
* N(E_F): 4.48 states/eV/cell
* total DFT energy (no corrections): -6.247 eV/atom
* energy relative to the elements, uncorrected: -106 kJ/mol of atoms

Record 6
A plane-wave DFT calculation with PBE-GGA was carried out for a relaxed structure of NdY3O.

```
NdY3O
1.0
5.682 0.000 0.000
0.000 6.497 0.003
0.000 0.001 7.097
Y O Nd
6 2 2
Direct
0.925 0.544 0.952
0.925 0.544 0.450
0.437 0.351 0.201
0.425 0.809 0.950
0.425 0.809 0.452
0.936 0.002 0.701
0.171 0.682 0.701
0.671 0.671 0.201
0.920 0.011 0.201
0.420 0.342 0.701
```

Properties
* magnetic moment: 0.01 Bohr magnetons per cell
* energy above the most stable polymorph in this dataset: 0 meV per atom
* N(E_F): 15.06 states/eV/cell
* total DFT energy (no corrections): -6.914 eV/atom
* energy relative to the elements, uncorrected: -105 kJ/mol of atoms

Record 7
A plane-wave DFT calculation with PBE-GGA was carried out for a relaxed structure of NdY2O.

```
NdY2O
1.0
-1.475 -2.796 -0.537
2.771 -1.271 -0.993
1.819 -2.562 8.354
Y O Nd
2 1 1
Direct
0.000 0.000 0.827
0.000 0.000 0.173
0.500 0.500 0.000
0.500 0.500 0.500
```

Properties
* magnetic moment: 0.00 Bohr magnetons per cell
* energy above the most stable polymorph in this dataset: 559 meV per atom
* N(E_F): 5.13 states/eV/cell
* total DFT energy (no corrections): -6.459 eV/atom
* energy relative to the elements, uncorrected: -77 kJ/mol of atoms

Record 8
A plane-wave DFT calculation with PBE-GGA was carried out for a relaxed structure of NdYO3.

```
NdYO3
1.0
-4.129 -0.502 3.988
0.879 -3.272 4.661
0.996 3.158 5.591
O Nd Y
6 2 2
Direct
0.733 0.465 0.754
0.465 0.048 0.754
0.535 0.267 0.246
0.048 0.733 0.754
0.267 0.952 0.246
0.952 0.535 0.246
0.143 0.143 0.572
0.857 0.857 0.428
0.649 0.649 0.053
0.351 0.351 0.947
```

Properties
* magnetic moment: 0.00 Bohr magnetons per cell
* N(E_F): 0.00 states/eV/cell
* total DFT energy (no corrections): -8.499 eV/atom
* energy relative to the elements, uncorrected: -316 kJ/mol of atoms